Below is an optimized crystal structure of PuZr2Ti, with properties calculated at the PBE level.

Structure (extended XYZ):
```
4
Lattice="-1.509 3.048 1.301 -3.202 -0.973 -1.436 -1.555 -3.164 5.611" Properties=species:S:1:pos:R:3 pbc="T T T"
Ti -2.356 1.038 -0.068
Pu -3.133 -0.544 2.738
Zr -0.353 -0.717 1.272
Zr -1.202 -2.446 4.338
```

Summary:
Formation energy from the elements (eV/atom): 0.148